Record 1
12
Lattice="3.267 -5.078 0.000 3.267 5.078 0.000 0.000 0.000 11.864" Properties=species:S:1:pos:R:3 comment="SrCaPb4, optimized geometry, DFT PBE" delta_e_f_mev_per_atom=-291 n_ef_per_ev_cell=7.98 total_magnetization_mub_per_cell=0.00 dft_energy_ry_per_atom=-0.248 pbc="T T T"
Sr 0.000 0.000 2.966
Sr 0.000 0.000 8.898
Ca 1.634 2.539 0.000
Ca 1.634 -2.539 5.932
Pb 1.837 0.939 5.932
Pb 3.267 1.601 2.966
Pb 3.267 1.601 8.898
Pb 1.837 -0.939 0.000
Pb 4.697 0.939 0.000
Pb 3.267 -1.601 2.966
Pb 3.267 -1.601 8.898
Pb 4.697 -0.939 5.932

---

Record 2
4
Lattice="4.356 0.000 0.000 0.000 4.356 0.000 0.000 0.000 4.047" Properties=species:S:1:pos:R:3 comment="Ti2HgSb, optimized geometry, DFT PBE" raw_formation_energy_ev_per_atom=-0.139 n_ef_per_ev_cell=2.06 de_polymorph_mev_per_atom=0 total_magnetization_mub_per_cell=0.00 dft_energy_ry_per_atom=-0.382 pbc="T T T"
Ti 0.000 2.178 0.000
Ti 2.178 0.000 0.000
Hg 0.000 0.000 2.024
Sb 2.178 2.178 2.024